Computed, not measured: an optimized crystal structure of La2Mg3AlFe2 at the GGA-PBE level of DFT.

Computed properties:
M_tot	6.43	Bohr magnetons per cell
crystal system	monoclinic
electronic total energy	-0.162	Ha/atom

Unit cell a=9.9973 b=4.2887 c=8.0835 alpha=90.00 beta=90.32 gamma=90.00
With the nearest neighbours (Å) after each atom.
Space group Cm (No. 8)
Inequivalent atoms, fractional coordinates:
La 0.0000 0.0000 0.0000 [2 per cell]  1 Fe 2.76
La 0.1078 0.0000 0.5172 [2 per cell]  1 Fe 2.48
Mg 0.2115 0.5000 0.8090 [2 per cell]  3 Fe 2.72, 2 Al 2.95
Mg 0.2141 0.5000 0.2092 [2 per cell]  3 Fe 2.80-2.96, 2 Mg 2.98
Mg 0.4025 0.0000 0.3150 [2 per cell]  3 Fe 2.79-2.84, 2 Mg 2.98
Al 0.3969 0.0000 0.7091 [2 per cell]  3 Fe 2.62-2.65
Fe 0.2758 0.0000 0.0002 [2 per cell]  1 Al 2.65, 5 Mg 2.72-2.84, 1 La 2.76
Fe 0.3605 0.5000 0.5290 [2 per cell]  1 La 2.48, 2 Al 2.62, 1 Mg 2.72